# InReNiMo PBE-GGA relaxed
# DFT total energy	-7.529	eV per atom
# size of the total moment	0.1396	μB per atom
data_InReNiMo
_chemical_formula_sum 'In4 Re4 Ni4 Mo4'
_cell_length_a 6.2766
_cell_length_b 6.2766
_cell_length_c 6.2766
_cell_angle_alpha 90.00
_cell_angle_beta 90.00
_cell_angle_gamma 90.00
_symmetry_space_group_name_H-M 'P 1'
_symmetry_Int_Tables_number 1
loop_
_symmetry_equiv_pos_as_xyz
'x,y,z'
loop_
_atom_site_label
_atom_site_type_symbol
_atom_site_fract_x
_atom_site_fract_y
_atom_site_fract_z
In1 In 0.0000 0.0000 0.0000
In2 In 0.0000 0.5000 0.5000
In3 In 0.5000 0.0000 0.5000
In4 In 0.5000 0.5000 0.0000
Re1 Re 0.0000 0.0000 0.5000
Re2 Re 0.0000 0.5000 0.0000
Re3 Re 0.5000 0.0000 0.0000
Re4 Re 0.5000 0.5000 0.5000
Ni1 Ni 0.2500 0.2500 0.2500
Ni2 Ni 0.2500 0.7500 0.7500
Ni3 Ni 0.7500 0.2500 0.7500
Ni4 Ni 0.7500 0.7500 0.2500
Mo1 Mo 0.2500 0.2500 0.7500
Mo2 Mo 0.2500 0.7500 0.2500
Mo3 Mo 0.7500 0.2500 0.2500
Mo4 Mo 0.7500 0.7500 0.7500

# BaLuAgS3 PBE-GGA relaxed
# DFT total energy	-5.219	eV per atom
# size of the total moment	0.0001	μB per atom
data_BaLuAgS3
_chemical_formula_sum 'Ba2 Lu2 Ag2 S6'
_cell_length_a 8.2704
_cell_length_b 4.0809
_cell_length_c 9.2167
_cell_angle_alpha 90.00
_cell_angle_beta 106.95
_cell_angle_gamma 90.00
_symmetry_space_group_name_H-M 'P 1'
_symmetry_Int_Tables_number 1
loop_
_symmetry_equiv_pos_as_xyz
'x,y,z'
loop_
_atom_site_label
_atom_site_type_symbol
_atom_site_fract_x
_atom_site_fract_y
_atom_site_fract_z
Ba1 Ba 0.2154 0.2500 0.2509
Ba2 Ba 0.7846 0.7500 0.7491
Lu1 Lu 0.3224 0.7500 0.8442
Lu2 Lu 0.6776 0.2500 0.1558
Ag1 Ag 0.0968 0.2500 0.5927
Ag2 Ag 0.9032 0.7500 0.4073
S1 S 0.1095 0.2500 0.8704
S2 S 0.2598 0.7500 0.5366
S3 S 0.4539 0.7500 0.1466
S4 S 0.5461 0.2500 0.8534
S5 S 0.7402 0.2500 0.4634
S6 S 0.8905 0.7500 0.1296

# TmLuNO PBE-GGA relaxed
# size of the total moment	0.0017	μB per atom
# excess energy over the best structure of this formula in the dataset	1.95	eV per formula unit
data_TmLuNO
_chemical_formula_sum 'Tm2 Lu2 N2 O2'
_cell_length_a 4.2961
_cell_length_b 4.2961
_cell_length_c 7.6862
_cell_angle_alpha 90.00
_cell_angle_beta 90.00
_cell_angle_gamma 90.00
_symmetry_space_group_name_H-M 'P 1'
_symmetry_Int_Tables_number 1
loop_
_symmetry_equiv_pos_as_xyz
'x,y,z'
loop_
_atom_site_label
_atom_site_type_symbol
_atom_site_fract_x
_atom_site_fract_y
_atom_site_fract_z
Tm1 Tm 0.2500 0.2500 0.0929
Tm2 Tm 0.7500 0.7500 0.9071
Lu1 Lu 0.2500 0.7500 0.5000
Lu2 Lu 0.7500 0.2500 0.5000
N1 N 0.2500 0.2500 0.5762
N2 N 0.7500 0.7500 0.4238
O1 O 0.2500 0.7500 0.0000
O2 O 0.7500 0.2500 0.0000

# RbScFeTe3 PBE-GGA relaxed
# DFT total energy	-4.983	eV per atom
# size of the total moment	0.5970	μB per atom
data_RbScFeTe3
_chemical_formula_sum 'Rb2 Sc2 Fe2 Te6'
_cell_length_a 9.4243
_cell_length_b 4.1672
_cell_length_c 11.0473
_cell_angle_alpha 90.00
_cell_angle_beta 113.92
_cell_angle_gamma 90.00
_symmetry_space_group_name_H-M 'P 1'
_symmetry_Int_Tables_number 1
loop_
_symmetry_equiv_pos_as_xyz
'x,y,z'
loop_
_atom_site_label
_atom_site_type_symbol
_atom_site_fract_x
_atom_site_fract_y
_atom_site_fract_z
Rb1 Rb 0.2397 0.2500 0.2774
Rb2 Rb 0.7603 0.7500 0.7226
Sc1 Sc 0.3320 0.7500 0.8531
Sc2 Sc 0.6680 0.2500 0.1469
Fe1 Fe 0.0665 0.2500 0.5814
Fe2 Fe 0.9335 0.7500 0.4186
Te1 Te 0.1050 0.2500 0.8316
Te2 Te 0.2351 0.7500 0.5579
Te3 Te 0.4461 0.7500 0.1384
Te4 Te 0.5539 0.2500 0.8616
Te5 Te 0.7649 0.2500 0.4421
Te6 Te 0.8950 0.7500 0.1684

# SmErOs PBE-GGA relaxed
# size of the total moment	0.0001	μB per atom
# formation energy from the elements	679	meV/atom
# excess energy over the best structure of this formula in the dataset	0.00	eV per formula unit
data_SmErOs
_chemical_formula_sum 'Sm4 Er4 Os4'
_cell_length_a 6.6785
_cell_length_b 6.6785
_cell_length_c 6.6785
_cell_angle_alpha 90.00
_cell_angle_beta 90.00
_cell_angle_gamma 90.00
_symmetry_space_group_name_H-M 'P 1'
_symmetry_Int_Tables_number 1
loop_
_symmetry_equiv_pos_as_xyz
'x,y,z'
loop_
_atom_site_label
_atom_site_type_symbol
_atom_site_fract_x
_atom_site_fract_y
_atom_site_fract_z
Sm1 Sm 0.0000 0.0000 0.0000
Sm2 Sm 0.0000 0.5000 0.5000
Sm3 Sm 0.5000 0.0000 0.5000
Sm4 Sm 0.5000 0.5000 0.0000
Er1 Er 0.2500 0.2500 0.7500
Er2 Er 0.2500 0.7500 0.2500
Er3 Er 0.7500 0.2500 0.2500
Er4 Er 0.7500 0.7500 0.7500
Os1 Os 0.0000 0.0000 0.5000
Os2 Os 0.0000 0.5000 0.0000
Os3 Os 0.5000 0.0000 0.0000
Os4 Os 0.5000 0.5000 0.5000

# Dy2In8Pd PBE-GGA relaxed
# DFT total energy	-3.707	eV per atom
# size of the total moment	0.0001	μB per atom
data_Dy2In8Pd
_chemical_formula_sum 'Dy2 In8 Pd1'
_cell_length_a 4.7014
_cell_length_b 4.7014
_cell_length_c 12.0847
_cell_angle_alpha 90.00
_cell_angle_beta 90.00
_cell_angle_gamma 90.00
_symmetry_space_group_name_H-M 'P 1'
_symmetry_Int_Tables_number 1
loop_
_symmetry_equiv_pos_as_xyz
'x,y,z'
loop_
_atom_site_label
_atom_site_type_symbol
_atom_site_fract_x
_atom_site_fract_y
_atom_site_fract_z
Dy1 Dy 0.0000 0.0000 0.1885
Dy2 Dy 0.0000 0.0000 0.8115
In1 In 0.0000 0.5000 0.0000
In2 In 0.0000 0.5000 0.3734
In3 In 0.0000 0.5000 0.6266
In4 In 0.5000 0.0000 0.0000
In5 In 0.5000 0.0000 0.3734
In6 In 0.5000 0.0000 0.6266
In7 In 0.5000 0.5000 0.1907
In8 In 0.5000 0.5000 0.8093
Pd1 Pd 0.0000 0.0000 0.5000

# Pu2Zn3Pd PBE-GGA relaxed
# size of the total moment	1.9225	μB per atom
# formation energy from the elements	-403	meV/atom
data_Pu2Zn3Pd
_chemical_formula_sum 'Pu4 Zn6 Pd2'
_cell_length_a 5.3828
_cell_length_b 5.3828
_cell_length_c 8.9908
_cell_angle_alpha 90.00
_cell_angle_beta 90.00
_cell_angle_gamma 120.00
_symmetry_space_group_name_H-M 'P 1'
_symmetry_Int_Tables_number 1
loop_
_symmetry_equiv_pos_as_xyz
'x,y,z'
loop_
_atom_site_label
_atom_site_type_symbol
_atom_site_fract_x
_atom_site_fract_y
_atom_site_fract_z
Pu1 Pu 0.3333 0.6667 0.0525
Pu2 Pu 0.3333 0.6667 0.4475
Pu3 Pu 0.6667 0.3333 0.5525
Pu4 Pu 0.6667 0.3333 0.9475
Zn1 Zn 0.1648 0.3296 0.7500
Zn2 Zn 0.1648 0.8352 0.7500
Zn3 Zn 0.3296 0.1648 0.2500
Zn4 Zn 0.6704 0.8352 0.7500
Zn5 Zn 0.8352 0.1648 0.2500
Zn6 Zn 0.8352 0.6704 0.2500
Pd1 Pd 0.0000 0.0000 0.0000
Pd2 Pd 0.0000 0.0000 0.5000

# SrSmGe2Ir PBE-GGA relaxed
# DFT total energy	-5.635	eV per atom
# size of the total moment	0.0002	μB per atom
data_SrSmGe2Ir
_chemical_formula_sum 'Sr2 Sm2 Ge4 Ir2'
_cell_length_a 6.0267
_cell_length_b 6.0267
_cell_length_c 10.6396
_cell_angle_alpha 116.37
_cell_angle_beta 116.37
_cell_angle_gamma 43.18
_symmetry_space_group_name_H-M 'P 1'
_symmetry_Int_Tables_number 1
loop_
_symmetry_equiv_pos_as_xyz
'x,y,z'
loop_
_atom_site_label
_atom_site_type_symbol
_atom_site_fract_x
_atom_site_fract_y
_atom_site_fract_z
Sr1 Sr 0.1837 0.1837 0.1057
Sr2 Sr 0.8163 0.8163 0.8943
Sm1 Sm 0.0024 0.0024 0.3310
Sm2 Sm 0.9976 0.9976 0.6690
Ge1 Ge 0.3515 0.3515 0.4351
Ge2 Ge 0.4991 0.4991 0.1395
Ge3 Ge 0.5009 0.5009 0.8605
Ge4 Ge 0.6485 0.6485 0.5649
Ir1 Ir 0.2690 0.2690 0.6185
Ir2 Ir 0.7310 0.7310 0.3815